An optimized crystal structure of K2Ag2BiS4, computed with PBE-GGA.

a b c (Å): 4.0883 7.7191 8.0327
angles (deg): 110.29 104.74 90.00
Fractional coordinates of all 9 atoms:
S1 0.5148 0.7551 0.0296
S2 0.1975 0.1951 0.3949
S3 0.8025 0.8049 0.6051
S4 0.4852 0.2449 0.9704
K1 0.8683 0.4437 0.7366
K2 0.1317 0.5563 0.2634
Bi1 0.0000 0.0000 0.0000
Ag1 0.6837 0.9868 0.3673
Ag2 0.3163 0.0132 0.6327

Output
Total energy = -0.2698 Ry/atom
Density of states at the Fermi level = 6.5 states/eV/f.u.
ρ = 4.58 g/cm³
Spin magnetization = 0.00 μB/f.u.

An optimized crystal structure of KAgBi2S4, computed with PBE-GGA.

a b c (Å): 4.1562 7.1637 14.7090
angles (deg): 90.00 90.00 106.86
Fractional coordinates of all 16 atoms:
S1 0.2663 0.5327 0.1045
S2 0.5568 0.1135 0.2500
S3 0.7337 0.4673 0.6045
S4 0.2663 0.5327 0.3955
S5 0.0000 0.0000 0.5000
S6 0.7337 0.4673 0.8955
S7 0.0000 0.0000 0.0000
S8 0.4432 0.8865 0.7500
K1 0.8843 0.7686 0.2500
K2 0.1157 0.2314 0.7500
Bi1 0.6325 0.2651 0.4381
Bi2 0.3675 0.7349 0.9381
Bi3 0.6325 0.2651 0.0619
Bi4 0.3675 0.7349 0.5619
Ag1 0.8445 0.6890 0.7500
Ag2 0.1555 0.3110 0.2500

Output
Total energy = -0.2956 Ry/atom
Density of states at the Fermi level = 0.0 states/eV/f.u.
ρ = 5.49 g/cm³
Spin magnetization = 0.00 μB/f.u.

An optimized crystal structure of KAgBiS2, computed with PBE-GGA.

a b c (Å): 4.6998 7.3986 8.4247
angles (deg): 99.43 90.00 90.00
Fractional coordinates of all 10 atoms:
S1 0.3460 0.7499 0.4666
S2 0.6540 0.7499 0.9666
S3 0.6540 0.2501 0.5334
S4 0.3460 0.2501 0.0334
K1 0.1508 0.5000 0.7500
K2 0.8492 0.5000 0.2500
Ag1 0.0000 0.0000 0.5000
Ag2 0.0000 0.0000 0.0000
Bi1 0.5168 0.0000 0.7500
Bi2 0.4832 0.0000 0.2500

Output
Total energy = -0.2682 Ry/atom
Density of states at the Fermi level = 1.6 states/eV/f.u.
ρ = 4.83 g/cm³
Spin magnetization = 0.00 μB/f.u.

An optimized crystal structure of K2Ag2BiSe4, computed with PBE-GGA.

a b c (Å): 4.2185 8.3208 8.0020
angles (deg): 110.20 90.00 104.68
Fractional coordinates of all 9 atoms:
Bi1 0.0000 0.0000 0.0000
Ag1 0.3142 0.6284 0.0165
Ag2 0.6858 0.3716 0.9835
K1 0.8676 0.7352 0.4376
K2 0.1324 0.2648 0.5624
Se1 0.8027 0.6054 0.8006
Se2 0.1973 0.3946 0.1994
Se3 0.4851 0.9702 0.2494
Se4 0.5149 0.0298 0.7506

Output
Total energy = -0.2521 Ry/atom
Density of states at the Fermi level = 6.6 states/eV/f.u.
ρ = 5.36 g/cm³
Spin magnetization = 0.00 μB/f.u.